Record 1
## KBaFeO3 (GGA+U)

Data for a relaxed KBaFeO3 crystal.

extended XYZ file:
```
24
Lattice="6.5703 -0.0053 0.0000 -3.8936 5.2923 0.0000 0.0000 0.0000 12.9784" Properties=species:S:1:pos:R:3 pbc="T T T"
K 0.8563 2.8876 8.3121
K 1.8204 2.3995 4.6663
K -3.4115 5.0483 1.8229
K 6.0883 0.2388 11.1555
Ba 2.8394 1.8836 11.9215
Ba 5.0692 0.7547 5.4322
Ba -2.3925 4.5324 7.5462
Ba -0.1627 3.4035 1.0570
Fe -1.4847 4.0728 4.3664
Fe 3.7472 1.4240 2.1228
Fe 4.1614 1.2143 8.6120
Fe -1.0705 3.8631 10.8557
O 4.3903 2.7589 9.7338
O -0.3752 5.1716 3.2446
O -1.7136 2.5281 3.2446
O 3.0519 0.1154 9.7338
O 0.5417 3.0468 11.3770
O 2.1350 2.2402 1.6014
O -3.0970 4.8890 4.8878
O 3.1314 1.7357 7.1193
O -2.1005 4.3845 12.3484
O 4.7772 0.9025 0.6301
O -0.4547 3.5513 5.8591
O 5.7737 0.3980 8.0906
```

Calculated values
Symmetry: Cmce
V in Å³/atom: 18.793
Fermi-level density of states in states/eV per cell: 0.00
Total energy in eV per atom: -5.836

Record 2
## KBa2FeO4 (GGA+U)

Data for a relaxed KBa2FeO4 crystal.

extended XYZ file:
```
16
Lattice="3.7278 0.0000 0.0000 -1.8639 6.8442 0.0000 0.0000 0.0000 13.0668" Properties=species:S:1:pos:R:3 pbc="T T T"
K 0.0000 1.5619 9.8001
K 1.8639 5.2823 3.2667
Ba 0.0000 5.0821 7.0113
Ba 1.8639 1.7621 0.4779
Ba 1.8639 1.7621 6.0555
Ba 0.0000 5.0821 12.5889
Fe 1.8639 4.3243 9.8001
Fe 0.0000 2.5199 3.2667
O 0.0000 3.5504 1.7092
O 1.8639 3.2938 8.2426
O 1.8639 3.2938 11.3575
O 0.0000 3.5504 4.8242
O 0.0000 0.0000 6.5334
O 0.0000 0.0000 0.0000
O 0.0000 5.1966 9.8001
O 1.8639 1.6476 3.2667
```

Calculated values
Symmetry: Cmcm
V in Å³/atom: 20.836
Fermi-level density of states in states/eV per cell: 0.00
Total energy in eV per atom: -5.758

Record 3
## KBa2FeO (GGA+U)

Data for a relaxed KBa2FeO crystal.

extended XYZ file:
```
5
Lattice="-1.9648 6.7987 2.1606 -2.1285 0.3860 -3.1502 -5.8228 -2.8231 3.5884" Properties=species:S:1:pos:R:3 pbc="T T T"
K -4.9580 2.1808 1.2994
Ba -2.9114 -1.4116 1.7942
Ba -0.9824 3.3994 1.0803
O -1.0643 0.1930 -1.5751
Fe 0.0000 0.0000 0.0000
```

Calculated values
Symmetry: P4/mmm
V in Å³/atom: 41.845
Fermi-level density of states in states/eV per cell: 6.74
Total energy in eV per atom: -3.200

Record 4
## KBaFeO3 (GGA+U)

Data for a relaxed KBaFeO3 crystal.

extended XYZ file:
```
12
Lattice="3.9569 0.0000 0.0000 -1.9784 7.0117 -0.1155 0.0000 -2.2116 7.6649" Properties=species:S:1:pos:R:3 pbc="T T T"
K 1.9784 0.8028 4.3100
K 0.0000 3.9972 3.2393
Ba 0.0000 2.8372 6.9023
Ba 1.9784 1.9629 0.6471
Fe 1.9784 6.3899 1.7450
Fe 0.0000 -1.5898 5.8044
O 1.9784 4.6033 1.1652
O 1.9784 3.6167 5.2200
O 0.0000 6.4213 1.6436
O 0.0000 1.1834 2.3294
O 1.9784 -1.6213 5.9058
O 0.0000 0.1967 6.3841
```

Calculated values
Symmetry: C2/m
V in Å³/atom: 17.637
Fermi-level density of states in states/eV per cell: 4.54
Total energy in eV per atom: -5.640